## CdBMoSe2 (PBE-GGA)

Data for a geometry-optimized CdBMoSe2 structure.

Summary:
Final energy = -3.5978 eV/atom
ρ = 5.29 g/cm³
Volume = 23.66 A^3/atom
Total magnetic moment = 0.77 μB per atom

a b c (Å): 5.3289 4.1658 5.3289
angles (deg): 90.00 90.00 90.00
Last column: nearest neighbours and their distance in Å.
Fractional positions:
Mo1 0.5000 0.5000 0.5000  8 Se 3.38, 4 B 3.77
B1 0.0000 0.5000 0.0000  2 Cd 2.08
Se1 0.0000 0.0000 0.5000  2 Cd 2.66
Se2 0.5000 0.0000 0.0000  2 Cd 2.66
Cd1 0.0000 0.0000 0.0000  2 B 2.08

***

## EuPuCdRh (PBE-GGA)

Data for a geometry-optimized EuPuCdRh structure.

Summary:
Formation energy = -0.149 eV/atom
Final energy = -8.3670 eV/atom
ρ = 10.50 g/cm³
Volume = 24.17 A^3/atom
Total magnetic moment = 0.33 μB per atom

a b c (Å): 5.1518 5.1518 5.1518
angles (deg): 60.00 60.00 60.00
Last column: nearest neighbours and their distance in Å.
Fractional positions:
Eu1 0.0000 0.0000 0.0000  4 Rh 3.15, 4 Cd 3.15
Cd1 0.7500 0.7500 0.7500  4 Pu 3.15, 4 Eu 3.15
Rh1 0.2500 0.2500 0.2500  4 Pu 3.15, 4 Eu 3.15
Pu1 0.5000 0.5000 0.5000  4 Cd 3.15, 4 Rh 3.15

***

## LiAc2Pd6Pb3 (PBE-GGA)

Data for a geometry-optimized LiAc2Pd6Pb3 structure.

Summary:
Formation energy = -0.301 eV/atom
Final energy = -4.6690 eV/atom
ρ = 9.35 g/cm³
Volume = 25.47 A^3/atom
Total magnetic moment = 0.00 μB per atom

a b c (Å): 4.2287 4.2287 17.0928
angles (deg): 90.00 90.00 90.00
Last column: nearest neighbours and their distance in Å.
Fractional positions:
Li1 0.5000 0.5000 0.5000  8 Pd 2.54
Ac1 0.5000 0.5000 0.1956  4 Pd 3.07
Ac2 0.5000 0.5000 0.8044  4 Pd 3.07
Pd1 0.0000 0.5000 0.5826  2 Li 2.54, 2 Pb 2.70, 1 Pd 2.82
Pd2 0.5000 0.0000 0.4174  2 Li 2.54, 2 Pb 2.70, 1 Pd 2.82
Pd3 0.5000 0.0000 0.5826  2 Li 2.54, 2 Pb 2.70, 1 Pd 2.82
Pd4 0.0000 0.0000 0.1553  2 Pb 2.66-2.80
Pd5 0.0000 0.5000 0.4174  2 Li 2.54, 2 Pb 2.70, 1 Pd 2.82
Pd6 0.0000 0.0000 0.8447  2 Pb 2.66-2.80
Pb1 0.0000 0.0000 0.3192  5 Pd 2.70-2.80
Pb2 0.0000 0.0000 0.6808  5 Pd 2.70-2.80
Pb3 0.0000 0.0000 0.0000  2 Pd 2.66

***

## S2BrO (PBE-GGA)

Data for a geometry-optimized S2BrO structure.

Summary:
Final energy = -2.7439 eV/atom
E above lowest polymorph = 565.4 meV per atom
ρ = 3.73 g/cm³
Volume = 17.79 A^3/atom
Total magnetic moment = 0.00 μB per atom

a b c (Å): 7.9270 7.9270 7.9270
angles (deg): 23.78 23.78 23.78
Last column: nearest neighbours and their distance in Å.
Fractional positions:
S1 0.8959 0.8959 0.8959  3 O 2.38, 1 Br 2.40
S2 0.1041 0.1041 0.1041  3 O 2.38, 1 Br 2.40
O1 0.5000 0.5000 0.5000  6 S 2.38
Br1 0.0000 0.0000 0.0000  2 S 2.40

***

## Pm4InAg2Ir (PBE-GGA)

Data for a geometry-optimized Pm4InAg2Ir structure.

Summary:
Formation energy = -0.472 eV/atom
Final energy = -5.0099 eV/atom
ρ = 9.02 g/cm³
Volume = 25.39 A^3/atom
Total magnetic moment = 0.00 μB per atom

a b c (Å): 5.2482 5.2482 9.0369
angles (deg): 73.12 73.12 60.00
Last column: nearest neighbours and their distance in Å.
Fractional positions:
Pm1 0.3865 0.3865 0.8406  1 Ir 2.90, 4 Ag 3.07-3.18
Pm2 0.8672 0.8672 0.3985  3 Ir 3.15, 4 Ag 3.30-3.41, 1 In 3.39, 3 Pm 3.49
Pm3 0.1328 0.1328 0.6015  3 Ir 3.15, 4 Ag 3.30-3.41, 1 In 3.39, 3 Pm 3.49
Pm4 0.6135 0.6135 0.1594  1 Ir 2.90, 4 Ag 3.07-3.18
In1 0.0000 0.0000 0.0000  8 Pm 3.32-3.39, 6 Ag 3.54
Ag1 0.7380 0.7380 0.7859  8 Pm 3.07-3.41
Ag2 0.2620 0.2620 0.2141  8 Pm 3.07-3.41
Ir1 0.5000 0.5000 0.5000  8 Pm 2.90-3.15

***

## AcLaCuP (PBE-GGA)

Data for a geometry-optimized AcLaCuP structure.

Summary:
Formation energy = -0.558 eV/atom
Final energy = -5.1937 eV/atom
ρ = 7.55 g/cm³
Volume = 25.30 A^3/atom
Total magnetic moment = 0.00 μB per atom

a b c (Å): 5.2308 5.2308 5.2308
angles (deg): 60.00 60.00 60.00
Last column: nearest neighbours and their distance in Å.
Fractional positions:
P1 0.0000 0.0000 0.0000  4 Ac 3.20, 4 La 3.20
Ac1 0.7500 0.7500 0.7500  4 Cu 3.20, 4 P 3.20
Cu1 0.5000 0.5000 0.5000  4 Ac 3.20, 4 La 3.20
La1 0.2500 0.2500 0.2500  4 Cu 3.20, 4 P 3.20

***

## ZnNiHRh2 (PBE-GGA)

Data for a geometry-optimized ZnNiHRh2 structure.

Summary:
Final energy = -5.1697 eV/atom
E above lowest polymorph = 0.0 meV per atom
ρ = 9.86 g/cm³
Volume = 11.15 A^3/atom
Total magnetic moment = 0.00 μB per atom

a b c (Å): 3.9565 3.9565 3.5614
angles (deg): 90.00 90.00 90.00
Last column: nearest neighbours and their distance in Å.
Fractional positions:
Ni1 0.0000 0.0000 0.5000  2 H 1.78
Zn1 0.5000 0.5000 0.5000  8 Rh 2.66, 4 Ni 2.80
Rh1 0.0000 0.5000 0.0000  2 H 1.98
Rh2 0.5000 0.0000 0.0000  2 H 1.98
H1 0.0000 0.0000 0.0000  2 Ni 1.78, 4 Rh 1.98

***

## Li2ZnPb (PBE-GGA)

Data for a geometry-optimized Li2ZnPb structure.

Summary:
Formation energy = -0.175 eV/atom
Final energy = -2.3779 eV/atom
ρ = 6.17 g/cm³
Volume = 19.26 A^3/atom
Total magnetic moment = 0.00 μB per atom

a b c (Å): 5.3037 5.3037 4.6767
angles (deg): 70.77 70.77 38.68
Last column: nearest neighbours and their distance in Å.
Fractional positions:
Pb1 0.5058 0.5058 0.5124  7 Li 2.92-3.01, 3 Zn 3.01-3.24
Zn1 0.2597 0.2597 0.2103  6 Li 2.78-3.03, 2 Pb 3.01
Li1 0.9889 0.9889 0.0284  2 Zn 2.78, 4 Pb 2.92-2.94, 2 Li 3.01
Li2 0.7456 0.7456 0.7489  4 Zn 2.82-3.03, 3 Pb 2.97-3.01, 3 Li 3.01-3.14

***

## MgReSb3 (PBE-GGA)

Data for a geometry-optimized MgReSb3 structure.

Summary:
Final energy = -4.6712 eV/atom
E above lowest polymorph = 0.0 meV per atom
ρ = 6.67 g/cm³
Volume = 28.66 A^3/atom
Total magnetic moment = 0.00 μB per atom

a b c (Å): 5.2330 5.2330 5.2330
angles (deg): 90.00 90.00 90.00
Last column: nearest neighbours and their distance in Å.
Fractional positions:
Re1 0.0000 0.0000 0.0000  6 Sb 2.62
Mg1 0.5000 0.5000 0.5000  12 Sb 3.70
Sb1 0.0000 0.5000 0.0000  2 Re 2.62
Sb2 0.0000 0.0000 0.5000  2 Re 2.62
Sb3 0.5000 0.0000 0.0000  2 Re 2.62

***

## CsIn2Se2 (PBE-GGA)

Data for a geometry-optimized CsIn2Se2 structure.

Summary:
Final energy = -3.2205 eV/atom
E above lowest polymorph = 65.4 meV per atom
ρ = 4.84 g/cm³
Volume = 35.70 A^3/atom
Total magnetic moment = 0.00 μB per atom

a b c (Å): 6.9490 9.0145 9.1561
angles (deg): 130.20 125.33 66.18
Last column: nearest neighbours and their distance in Å.
Fractional positions:
Cs1 0.2152 0.7152 0.9303  4 Se 3.56-3.64
Cs2 0.7848 0.2848 0.0697  4 Se 3.56-3.64
In1 0.5724 0.2600 0.5000  3 Se 2.63-2.78
In2 0.1185 0.1185 0.7370  1 Se 2.84, 1 In 2.95
In3 0.4276 0.7400 0.5000  3 Se 2.63-2.78
In4 0.8815 0.8815 0.2630  1 Se 2.84, 1 In 2.95
Se1 0.6535 0.6535 0.8071  3 In 2.78-2.84
Se2 0.7742 0.7920 0.5000  1 In 2.63
Se3 0.2258 0.2080 0.5000  1 In 2.63
Se4 0.3465 0.3465 0.1929  3 In 2.78-2.84

***

## TaAu5 (PBE-GGA)

Data for a geometry-optimized TaAu5 structure.

Summary:
Formation energy = -0.034 eV/atom
Final energy = -4.7406 eV/atom
ρ = 17.93 g/cm³
Volume = 18.00 A^3/atom
Total magnetic moment = 0.00 μB per atom

a b c (Å): 2.9455 2.9455 12.4470
angles (deg): 90.00 90.00 90.00
Last column: nearest neighbours and their distance in Å.
Fractional positions:
Au1 0.0000 0.0000 0.9922  4 Ta 2.87, 8 Au 2.95-2.99
Au2 0.5000 0.5000 0.1645  12 Au 2.95-2.99
Au3 0.0000 0.0000 0.3333  12 Au 2.95-2.96
Au4 0.5000 0.5000 0.5022  12 Au 2.95-2.99
Au5 0.0000 0.0000 0.6745  4 Ta 2.87, 8 Au 2.95-2.99
Ta1 0.5000 0.5000 0.8333  8 Au 2.87, 4 Ta 2.95

***

## Mn2CoOs (PBE-GGA)

Data for a geometry-optimized Mn2CoOs structure.

Summary:
Formation energy = 0.087 eV/atom
Final energy = -9.0821 eV/atom
ρ = 12.49 g/cm³
Volume = 11.93 A^3/atom
Total magnetic moment = 0.46 μB per atom

a b c (Å): 4.4095 4.4095 2.5995
angles (deg): 90.00 90.00 109.23
Last column: nearest neighbours and their distance in Å.
Fractional positions:
Co1 0.0000 0.5000 0.5000  2 Os 2.55, 8 Mn 2.56, 2 Co 2.60
Mn1 0.0000 0.0000 0.0000  4 Mn 2.55-2.60, 4 Os 2.56, 4 Co 2.56
Mn2 0.5000 0.5000 0.0000  4 Mn 2.55-2.60, 4 Co 2.56, 4 Os 2.56
Os1 0.5000 0.0000 0.5000  2 Co 2.55, 8 Mn 2.56, 2 Os 2.60